Material: PuScI
Method: DFT, PBE-GGA
State: optimized geometry

Calculated values
final energy = -46.9 eV/cell

Unit cell a=3.9899 b=4.0060 c=11.9838 alpha=88.90 beta=88.78 gamma=62.16
Space group P-1 (No. 2)
One atom of each set of equivalent atoms:
Pu (0.1702, 0.1714, 0.4957) x2
Sc (0.4877, 0.4884, 0.6812) x2
I (0.1814, 0.1772, 0.1623) x2


Material: PuScI4
Method: DFT, PBE-GGA
State: optimized geometry

Calculated values
final energy = -33.3 eV/cell

Unit cell a=7.3526 b=4.2179 c=8.0473 alpha=90.00 beta=106.61 gamma=90.00
Space group P2/m (No. 10)
One atom of each set of equivalent atoms:
Pu (0.0000, 0.0000, 0.0000) x1
Sc (0.5000, 0.5000, 0.0000) x1
I (0.2625, 0.5000, 0.2467) x2
I (0.2752, 0.0000, 0.7644) x2


Material: PuSc2I6
Method: DFT, PBE-GGA
State: optimized geometry

Calculated values
final energy = -92.4 eV/cell

Unit cell a=16.9039 b=4.1123 c=11.2202 alpha=90.00 beta=116.12 gamma=90.00
Space group C2/m (No. 12)
One atom of each set of equivalent atoms:
Pu (0.0000, 0.0000, 0.0000) x2
Sc (0.1527, 0.5000, 0.3090) x4
I (0.0234, 0.0000, 0.2958) x4
I (0.1531, 0.5000, 0.0507) x4
I (0.2040, 0.5000, 0.6091) x4